Computed, not measured: a relaxed structure of Sc2BiRuO8 at the PBE level of DFT.

It has space group Cmmm (No. 65), with a = 6.7764 Å, b = 6.9062 Å, c = 6.4963 Å, α = 90.00°, β = 90.00° and γ = 90.00°. The distinct sites, in fractional coordinates, are Sc at (0.0000, 0.0000, 0.2475), Bi at (0.0000, 0.5000, 0.5000), Ru at (0.0000, 0.5000, 0.0000), O at (0.0000, 0.3088, 0.2252), O at (0.1841, 0.0000, 0.5000) and O at (0.2165, 0.0000, 0.0000).

The uncorrected formation energy is -1.9648 eV/atom. For the spin magnetization, the calculation gives 1.01 μB/f.u.